! GGA+U Na3Y3CoO8, relaxed; values from VASP
! E_tot, eV per atom: -6.863
! Space-group type: No. 166
! Density, g/cm3: 4.11
&SYSTEM
  ibrav = 0, nat = 15, ntyp = 4
/
ATOMIC_SPECIES
Na 22.99 Na.upf
Y 88.91 Y.upf
Co 58.93 Co.upf
O 16.00 O.upf
ATOMIC_POSITIONS crystal
Na 0.000 0.500 0.500
Na 0.500 0.000 0.500
Na 0.500 0.500 0.000
Y 0.000 0.000 0.500
Y 0.000 0.500 0.000
Y 0.500 0.000 0.000
Co 0.500 0.500 0.500
O 0.237 0.237 0.237
O 0.272 0.711 0.711
O 0.289 0.289 0.728
O 0.289 0.728 0.289
O 0.711 0.272 0.711
O 0.711 0.711 0.272
O 0.728 0.289 0.289
O 0.763 0.763 0.763
CELL_PARAMETERS angstrom
3.320 1.917 5.527
-3.320 1.917 5.527
0.000 -3.833 5.527